[1]
# SCAN BaCrNi2, PBEsol geometry
data_BaCrNi2
_chemical_formula_sum 'Ba1 Cr1 Ni2'
_cell_length_a 4.592
_cell_length_b 4.592
_cell_length_c 4.592
_cell_angle_alpha 60.00
_cell_angle_beta 60.00
_cell_angle_gamma 60.00
_space_group_name_H-M_alt 'P 1'
_space_group_IT_number 1
loop_
_space_group_symop_operation_xyz
'x,y,z'
loop_
_atom_site_label
_atom_site_type_symbol
_atom_site_fract_x
_atom_site_fract_y
_atom_site_fract_z
_atom_site_occupancy
Ba1 Ba 0.500 0.500 0.500 1
Cr1 Cr 0.250 0.250 0.250 1
Ni1 Ni 0.000 0.000 0.000 1
Ni2 Ni 0.750 0.750 0.750 1
# DFT formation energy = 0.9029 eV/atom

[2]
# SCAN Ho2Mo4O15, PBEsol geometry
data_Ho2Mo4O15
_chemical_formula_sum 'Ho4 Mo8 O30'
_cell_length_a 6.724
_cell_length_b 9.546
_cell_length_c 10.545
_cell_angle_alpha 90.00
_cell_angle_beta 105.13
_cell_angle_gamma 90.00
_space_group_name_H-M_alt 'P 1'
_space_group_IT_number 1
loop_
_space_group_symop_operation_xyz
'x,y,z'
loop_
_atom_site_label
_atom_site_type_symbol
_atom_site_fract_x
_atom_site_fract_y
_atom_site_fract_z
_atom_site_occupancy
Ho1 Ho 0.211 0.977 0.275 1
Ho2 Ho 0.789 0.477 0.225 1
Ho3 Ho 0.789 0.023 0.725 1
Ho4 Ho 0.211 0.523 0.775 1
Mo1 Mo 0.617 0.095 0.156 1
Mo2 Mo 0.383 0.595 0.344 1
Mo3 Mo 0.383 0.905 0.844 1
Mo4 Mo 0.617 0.405 0.656 1
Mo5 Mo 0.081 0.256 0.011 1
Mo6 Mo 0.919 0.756 0.489 1
Mo7 Mo 0.919 0.744 0.989 1
Mo8 Mo 0.081 0.244 0.511 1
O1 O 0.500 0.000 0.000 1
O2 O 0.500 0.500 0.500 1
O3 O 0.551 0.028 0.294 1
O4 O 0.449 0.528 0.206 1
O5 O 0.449 0.972 0.706 1
O6 O 0.551 0.472 0.794 1
O7 O 0.614 0.278 0.150 1
O8 O 0.386 0.778 0.350 1
O9 O 0.386 0.722 0.850 1
O10 O 0.614 0.222 0.650 1
O11 O 0.878 0.054 0.183 1
O12 O 0.122 0.554 0.317 1
O13 O 0.975 0.127 0.603 1
O14 O 0.025 0.627 0.897 1
O15 O 0.025 0.873 0.397 1
O16 O 0.975 0.373 0.103 1
O17 O 0.881 0.336 0.402 1
O18 O 0.119 0.836 0.098 1
O19 O 0.119 0.664 0.598 1
O20 O 0.881 0.164 0.902 1
O21 O 0.218 0.152 0.417 1
O22 O 0.782 0.652 0.083 1
O23 O 0.782 0.848 0.583 1
O24 O 0.218 0.348 0.917 1
O25 O 0.249 0.365 0.618 1
O26 O 0.751 0.865 0.882 1
O27 O 0.751 0.635 0.382 1
O28 O 0.249 0.135 0.118 1
O29 O 0.878 0.446 0.683 1
O30 O 0.122 0.946 0.817 1
# VASP energy = -386.1 eV per formula unit

DOS at the Fermi energy: 1.27, 0.00 (states/eV per cell)